--- one ---
An optimized crystal structure of AlSeS2, computed with PBE.

Results
- ρ (Mg/m³) = 3.51

POSCAR file:
```
AlSeS2
1.0
1.502 7.156 2.744
2.083 5.107 5.530
4.580 5.514 3.102
Se Al S
1 1 2
Direct
0.000 0.000 0.000
0.500 0.500 0.500
0.891 0.891 0.891
0.109 0.109 0.109
```

---

--- two ---
An optimized crystal structure of AlSeS2, computed with PBE.

Results
- ρ (Mg/m³) = 3.15

POSCAR file:
```
AlSeS2
1.0
6.448 0.000 0.000
0.000 6.448 0.000
3.224 3.224 4.318
S Al Se
4 2 2
Direct
0.564 0.125 0.250
0.186 0.625 0.250
0.375 0.436 0.750
0.875 0.814 0.750
0.500 0.500 0.000
0.250 0.750 0.500
0.000 0.000 0.000
0.750 0.250 0.500
```

---

Which is most stable, and by how much? one, by 414 meV per atom.

---

--- one ---
An optimized crystal structure of AlSe2S, computed with PBE.

Results
- ρ (Mg/m³) = 4.94

POSCAR file:
```
AlSe2S
1.0
0.000 3.316 3.316
3.316 0.000 3.316
3.316 3.316 0.000
S Al Se
1 1 2
Direct
0.500 0.500 0.500
0.000 0.000 0.000
0.750 0.750 0.750
0.250 0.250 0.250
```

---

--- two ---
An optimized crystal structure of AlSe2S, computed with PBE.

Results
- ρ (Mg/m³) = 3.92

POSCAR file:
```
AlSe2S
1.0
2.145 0.000 7.692
-1.073 1.858 7.692
-1.073 -1.858 7.692
S Se Al
1 2 1
Direct
0.000 0.000 0.000
0.895 0.895 0.895
0.105 0.105 0.105
0.500 0.500 0.500
```

---

Which is most stable, and by how much? two, by 596 meV per atom.

---

--- one ---
An optimized crystal structure of AlSi2S2, computed with PBE.

Results
- ρ (Mg/m³) = 2.88

POSCAR file:
```
AlSi2S2
1.0
-0.486 -1.695 -2.863
-2.121 -2.071 1.586
-7.039 2.670 -2.361
Al S Si
1 2 2
Direct
0.000 0.000 0.000
0.596 0.596 0.809
0.404 0.404 0.191
0.750 0.250 0.500
0.250 0.750 0.500
```

---

--- two ---
An optimized crystal structure of AlSi2S2, computed with PBE.

Results
- ρ (Mg/m³) = 2.57

POSCAR file:
```
AlSi2S2
1.0
-0.297 -2.631 7.150
3.087 -6.583 -2.295
2.992 1.205 0.568
S Si Al
4 4 2
Direct
0.341 0.841 0.000
0.841 0.659 0.000
0.659 0.159 0.000
0.159 0.341 0.000
0.697 0.803 0.500
0.303 0.197 0.500
0.197 0.697 0.500
0.803 0.303 0.500
0.000 0.000 0.000
0.500 0.500 0.000
```

---

Which is most stable, and by how much? one, by 61 meV per atom.

---

--- one ---
An optimized crystal structure of Al2SnS, computed with PBE.

Results
- ρ (Mg/m³) = 3.35

POSCAR file:
```
Al2SnS
1.0
5.851 0.000 0.000
0.000 5.851 0.000
2.925 2.925 5.925
S Sn Al
2 2 4
Direct
0.500 0.500 0.000
0.250 0.750 0.500
0.000 0.000 0.000
0.750 0.250 0.500
0.597 0.125 0.250
0.153 0.625 0.250
0.375 0.403 0.750
0.875 0.847 0.750
```

---

--- two ---
An optimized crystal structure of Al2SnS, computed with PBE.

Results
- ρ (Mg/m³) = 4.34

POSCAR file:
```
Al2SnS
1.0
0.000 3.396 3.396
3.396 0.000 3.396
3.396 3.396 0.000
S Al Sn
1 2 1
Direct
0.000 0.000 0.000
0.250 0.250 0.250
0.750 0.750 0.750
0.500 0.500 0.500
```

---

Which is most stable, and by how much? one, by 473 meV per atom.

---

--- one ---
An optimized crystal structure of AlSnS, computed with PBE.

Results
- ρ (Mg/m³) = 3.99

POSCAR file:
```
AlSnS
1.0
-5.017 2.115 2.270
3.594 -1.863 9.678
0.769 4.970 -2.931
Sn S Al
4 4 4
Direct
0.477 0.449 0.200
0.977 0.551 0.300
0.523 0.551 0.800
0.023 0.449 0.700
0.948 0.108 0.873
0.052 0.892 0.127
0.448 0.892 0.627
0.552 0.108 0.373
0.931 0.143 0.309
0.569 0.143 0.809
0.069 0.857 0.691
0.431 0.857 0.191
```

---

--- two ---
An optimized crystal structure of AlSnS, computed with PBE.

Results
- ρ (Mg/m³) = 3.96

POSCAR file:
```
AlSnS
1.0
-2.799 -0.959 1.702
2.933 -1.686 0.450
1.786 4.580 5.517
Al S Sn
1 1 1
Direct
0.667 0.333 0.392
0.333 0.667 0.552
0.000 0.000 0.056
```

---

Which is most stable, and by how much? one, by 95 meV per atom.

---

--- one ---
An optimized crystal structure of Al3SnS, computed with PBE.

Results
- ρ (Mg/m³) = 3.54

POSCAR file:
```
Al3SnS
1.0
4.772 0.000 0.000
0.000 4.772 0.000
0.000 0.000 4.772
S Sn Al
1 1 3
Direct
0.000 0.000 0.000
0.500 0.500 0.500
0.000 0.500 0.000
0.000 0.000 0.500
0.500 0.000 0.000
```

---

--- two ---
An optimized crystal structure of Al3SnS, computed with PBE.

Results
- ρ (Mg/m³) = 2.63

POSCAR file:
```
Al3SnS
1.0
5.267 0.000 0.000
0.000 5.267 0.000
0.000 0.000 5.267
Al S Sn
3 1 1
Direct
0.000 0.000 0.500
0.500 0.000 0.000
0.000 0.500 0.000
0.500 0.500 0.500
0.000 0.000 0.000
```

---

Which is most stable, and by how much? one, by 553 meV per atom.

---

--- one ---
An optimized crystal structure of AlSn2S2, computed with PBE.

Results
- ρ (Mg/m³) = 4.17

POSCAR file:
```
AlSn2S2
1.0
-0.312 -4.544 -3.084
0.727 -3.096 4.488
-4.072 -3.940 1.312
S Sn Al
2 2 1
Direct
0.750 0.250 0.500
0.250 0.750 0.500
0.678 0.678 0.644
0.322 0.322 0.356
0.000 0.000 0.000
```

---

--- two ---
An optimized crystal structure of AlSn2S2, computed with PBE.

Results
- ρ (Mg/m³) = 4.55

POSCAR file:
```
AlSn2S2
1.0
7.816 0.000 0.000
0.000 7.816 0.000
0.000 0.000 3.926
Sn S Al
4 4 2
Direct
0.342 0.842 0.000
0.658 0.158 0.000
0.842 0.658 0.000
0.158 0.342 0.000
0.676 0.824 0.500
0.176 0.676 0.500
0.324 0.176 0.500
0.824 0.324 0.500
0.500 0.500 0.000
0.000 0.000 0.000
```

---

Which is most stable, and by how much? two, by 8 meV per atom.

---

--- one ---
An optimized crystal structure of SrAl3S, computed with PBE.

Results
- ρ (Mg/m³) = 1.61

POSCAR file:
```
SrAl3S
1.0
5.914 0.000 0.000
0.000 5.914 0.000
0.000 0.000 5.914
Al Sr S
3 1 1
Direct
0.500 0.000 0.000
0.000 0.500 0.000
0.000 0.000 0.500
0.000 0.000 0.000
0.500 0.500 0.500
```

---

--- two ---
An optimized crystal structure of SrAl3S, computed with PBE.

Results
- ρ (Mg/m³) = 2.63

POSCAR file:
```
SrAl3S
1.0
5.023 0.000 0.000
0.000 5.023 0.000
0.000 0.000 5.023
Al Sr S
3 1 1
Direct
0.000 0.000 0.500
0.500 0.000 0.000
0.000 0.500 0.000
0.500 0.500 0.500
0.000 0.000 0.000
```

---

Which is most stable, and by how much? two, by 1338 meV per atom.

---

--- one ---
An optimized crystal structure of TaAl3S, computed with PBE.

Results
- ρ (Mg/m³) = 3.62

POSCAR file:
```
TaAl3S
1.0
-2.379 -0.829 -4.465
2.752 -4.273 -0.673
-3.612 -2.709 2.428
Al S Ta
3 1 1
Direct
0.500 0.000 0.000
0.000 0.000 0.500
0.000 0.500 0.000
0.500 0.500 0.500
0.000 0.000 0.000
```

---

--- two ---
An optimized crystal structure of TaAl3S, computed with PBE.

Results
- ρ (Mg/m³) = 5.26

POSCAR file:
```
TaAl3S
1.0
4.528 0.000 0.000
0.000 4.528 0.000
0.000 0.000 4.528
Al Ta S
3 1 1
Direct
0.000 0.000 0.500
0.000 0.500 0.000
0.500 0.000 0.000
0.500 0.500 0.500
0.000 0.000 0.000
```

---

Which is most stable, and by how much? two, by 548 meV per atom.

---

--- one ---
An optimized crystal structure of Al3TcS, computed with PBE.

Results
- ρ (Mg/m³) = 3.87

POSCAR file:
```
Al3TcS
1.0
-2.718 -2.063 2.920
1.670 -3.976 -1.255
3.162 0.326 3.173
Al S Tc
3 1 1
Direct
0.000 0.500 0.000
0.000 0.000 0.500
0.500 0.000 0.000
0.000 0.000 0.000
0.500 0.500 0.500
```

---

--- two ---
An optimized crystal structure of Al3TcS, computed with PBE.

Results
- ρ (Mg/m³) = 3.27

POSCAR file:
```
Al3TcS
1.0
4.748 0.000 0.000
0.000 4.748 0.000
0.000 0.000 4.748
Al S Tc
3 1 1
Direct
0.500 0.000 0.000
0.000 0.500 0.000
0.000 0.000 0.500
0.500 0.500 0.500
0.000 0.000 0.000
```

---

Which is most stable, and by how much? two, by 242 meV per atom.

---

--- one ---
An optimized crystal structure of AlTc2S, computed with PBE.

Results
- ρ (Mg/m³) = 7.79

POSCAR file:
```
AlTc2S
1.0
-3.515 -0.425 2.356
-3.662 -1.147 -1.832
-1.620 -3.864 0.724
Tc S Al
2 1 1
Direct
0.250 0.250 0.250
0.750 0.750 0.750
0.500 0.500 0.500
0.000 0.000 0.000
```

---

--- two ---
An optimized crystal structure of AlTc2S, computed with PBE.

Results
- ρ (Mg/m³) = 6.73

POSCAR file:
```
AlTc2S
1.0
-6.492 -2.300 1.758
2.349 -1.661 6.500
-2.665 0.304 4.927
S Tc Al
2 4 2
Direct
0.000 0.000 0.000
0.750 0.250 0.500
0.712 0.125 0.250
0.875 0.962 0.750
0.038 0.625 0.250
0.375 0.288 0.750
0.250 0.750 0.500
0.500 0.500 0.000
```

---

Which is most stable, and by how much? one, by 80 meV per atom.

---

--- one ---
An optimized crystal structure of AlTeS2, computed with PBE.

Results
- ρ (Mg/m³) = 3.63

POSCAR file:
```
AlTeS2
1.0
-6.446 0.978 0.503
0.030 -2.831 5.895
-2.421 3.234 5.193
S Al Te
4 2 2
Direct
0.375 0.459 0.750
0.875 0.791 0.750
0.209 0.625 0.250
0.541 0.125 0.250
0.250 0.750 0.500
0.500 0.500 0.000
0.750 0.250 0.500
0.000 0.000 0.000
```

---

--- two ---
An optimized crystal structure of AlTeS2, computed with PBE.

Results
- ρ (Mg/m³) = 4.80

POSCAR file:
```
AlTeS2
1.0
3.881 -2.241 1.563
-0.158 -2.479 4.044
0.210 -4.740 -0.112
Te Al S
1 1 2
Direct
0.500 0.500 0.500
0.000 0.000 0.000
0.250 0.250 0.250
0.750 0.750 0.750
```

---

--- three ---
An optimized crystal structure of AlTeS2, computed with PBE.

Results
- ρ (Mg/m³) = 4.17

POSCAR file:
```
AlTeS2
1.0
2.056 0.000 7.934
-1.028 1.781 7.934
-1.028 -1.781 7.934
S Te Al
2 1 1
Direct
0.888 0.888 0.888
0.112 0.112 0.112
0.000 0.000 0.000
0.500 0.500 0.500
```

---

Which is most stable, and by how much? three, by 422 meV per atom.

---

--- one ---
An optimized crystal structure of Ti3AlS, computed with PBE.

Results
- ρ (Mg/m³) = 3.80

POSCAR file:
```
Ti3AlS
1.0
-3.861 0.605 2.400
4.674 -1.894 3.616
2.133 6.133 1.887
Ti Al S
6 2 2
Direct
0.284 0.569 0.157
0.037 0.074 0.204
0.716 0.431 0.843
0.164 0.329 0.531
0.836 0.671 0.469
0.963 0.926 0.796
0.610 0.220 0.356
0.390 0.780 0.644
0.155 0.310 0.890
0.845 0.690 0.110
```

---

--- two ---
An optimized crystal structure of Ti3AlS, computed with PBE.

Results
- ρ (Mg/m³) = 3.77

POSCAR file:
```
Ti3AlS
1.0
-3.697 1.220 2.197
-2.511 -1.941 -3.148
0.095 -3.838 2.290
Ti S Al
3 1 1
Direct
0.000 0.000 0.500
0.000 0.500 0.000
0.500 0.000 0.000
0.000 0.000 0.000
0.500 0.500 0.500
```

---

Which is most stable, and by how much? one, by 33 meV per atom.